# BaMg2Au PBE-GGA optimized geometry
data_BaMg2Au
_cell_length_a 5.540
_cell_length_b 5.540
_cell_length_c 5.540
_cell_angle_alpha 125.02
_cell_angle_beta 113.66
_cell_angle_gamma 91.42
_symmetry_space_group_name_H-M 'P 1'
_symmetry_Int_Tables_number 1
loop_
_symmetry_equiv_pos_as_xyz
'x,y,z'
loop_
_atom_site_label
_atom_site_fract_x
_atom_site_fract_y
_atom_site_fract_z
Ba1 0.253 0.753 0.500
Mg1 0.951 0.951 0.000
Au1 0.578 0.578 0.000
Mg2 0.718 0.218 0.500
# - Mass density: 5.30 Mg/m³
# - Uncorrected energy: -0.0864 hartree per atom
# - E_form: -254.3 meV per atom
# - M_tot: 0.0 μB per formula unit